Mg12Zn3Au5: relaxed, PBE-GGA.

The calculated total energy comes out at -0.14835 Ry per atom. As for the symmetry: No. 230.

a b c (Å): 13.7284 13.7284 13.7284
angles (deg): 109.47 109.47 109.47
Closest atoms and distances in Å follow each position.
Sites, in units of the cell vectors:
1 Mg 0.0730 0.1684 0.4434  2 Au 2.61-2.67, 1 Zn 2.80
2 Mg 0.3704 0.9434 0.7749  2 Au 2.61-2.67, 1 Zn 2.80
3 Mg 0.3316 0.7749 0.4046  2 Au 2.61-2.67, 1 Zn 2.80
4 Mg 0.1684 0.0954 0.7251  2 Au 2.61-2.67, 1 Zn 2.80
5 Mg 0.6684 0.2251 0.5954  2 Au 2.61-2.67, 1 Zn 2.80
6 Mg 0.5730 0.6296 0.4046  2 Au 2.61-2.67, 1 Zn 2.80
7 Mg 0.4046 0.2749 0.3316  2 Au 2.61-2.67, 1 Zn 2.80
8 Mg 0.4434 0.7749 0.8704  2 Au 2.61-2.67, 1 Zn 2.80
9 Mg 0.9046 0.0730 0.6296  2 Au 2.61-2.67, 1 Zn 2.80
10 Mg 0.1684 0.0730 0.9434  2 Au 2.61-2.67, 1 Zn 2.80
11 Mg 0.3704 0.4270 0.0954  2 Au 2.61-2.67, 1 Zn 2.80
12 Mg 0.4270 0.3704 0.5954  2 Au 2.61-2.67, 1 Zn 2.80
13 Mg 0.5566 0.2251 0.1296  2 Au 2.61-2.67, 1 Zn 2.80
14 Mg 0.0954 0.1684 0.2251  2 Au 2.61-2.67, 1 Zn 2.80
15 Mg 0.0566 0.4270 0.8316  2 Au 2.61-2.67, 1 Zn 2.80
16 Mg 0.9270 0.0954 0.8704  2 Au 2.61-2.67, 1 Zn 2.80
17 Mg 0.6296 0.0566 0.2251  2 Au 2.61-2.67, 1 Zn 2.80
18 Mg 0.0954 0.9270 0.3704  2 Au 2.61-2.67, 1 Zn 2.80
19 Mg 0.6296 0.5730 0.9046  2 Au 2.61-2.67, 1 Zn 2.80
20 Mg 0.8704 0.2749 0.4434  2 Au 2.61-2.67, 1 Zn 2.80
21 Mg 0.7749 0.3316 0.9046  2 Au 2.61-2.67, 1 Zn 2.80
22 Mg 0.2749 0.4046 0.8316  2 Au 2.61-2.67, 1 Zn 2.80
23 Mg 0.4046 0.1296 0.5730  2 Au 2.61-2.67, 1 Zn 2.80
24 Mg 0.4270 0.0566 0.3316  2 Au 2.61-2.67, 1 Zn 2.80
25 Mg 0.6684 0.4434 0.5730  2 Au 2.61-2.67, 1 Zn 2.80
26 Mg 0.5730 0.9434 0.6684  2 Au 2.61-2.67, 1 Zn 2.80
27 Mg 0.1296 0.4046 0.0730  2 Au 2.61-2.67, 1 Zn 2.80
28 Mg 0.8316 0.9270 0.0566  2 Au 2.61-2.67, 1 Zn 2.80
29 Mg 0.7749 0.4434 0.3704  2 Au 2.61-2.67, 1 Zn 2.80
30 Mg 0.9434 0.5730 0.1684  2 Au 2.61-2.67, 1 Zn 2.80
31 Mg 0.9434 0.3704 0.2749  2 Au 2.61-2.67, 1 Zn 2.80
32 Mg 0.1296 0.7251 0.5566  2 Au 2.61-2.67, 1 Zn 2.80
33 Mg 0.9046 0.8316 0.7749  2 Au 2.61-2.67, 1 Zn 2.80
34 Mg 0.5566 0.3316 0.9270  2 Au 2.61-2.67, 1 Zn 2.80
35 Mg 0.2749 0.8704 0.9434  2 Au 2.61-2.67, 1 Zn 2.80
36 Mg 0.7251 0.5954 0.1684  2 Au 2.61-2.67, 1 Zn 2.80
37 Mg 0.9270 0.8316 0.5566  2 Au 2.61-2.67, 1 Zn 2.80
38 Mg 0.5954 0.8704 0.4270  2 Au 2.61-2.67, 1 Zn 2.80
39 Mg 0.7251 0.1296 0.0566  2 Au 2.61-2.67, 1 Zn 2.80
40 Mg 0.2251 0.5566 0.6296  2 Au 2.61-2.67, 1 Zn 2.80
41 Mg 0.3316 0.5566 0.4270  2 Au 2.61-2.67, 1 Zn 2.80
42 Mg 0.8316 0.9046 0.2749  2 Au 2.61-2.67, 1 Zn 2.80
43 Mg 0.4434 0.6684 0.0730  2 Au 2.61-2.67, 1 Zn 2.80
44 Mg 0.5954 0.7251 0.6684  2 Au 2.61-2.67, 1 Zn 2.80
45 Mg 0.2251 0.6684 0.0954  2 Au 2.61-2.67, 1 Zn 2.80
46 Mg 0.0566 0.6296 0.7251  2 Au 2.61-2.67, 1 Zn 2.80
47 Mg 0.8704 0.5954 0.9270  2 Au 2.61-2.67, 1 Zn 2.80
48 Mg 0.0730 0.9046 0.1296  2 Au 2.61-2.67, 1 Zn 2.80
49 Au 0.8750 0.2500 0.6250  4 Mg 2.61
50 Au 0.7500 0.6250 0.3750  4 Mg 2.61
51 Au 0.8750 0.6250 0.7500  4 Mg 2.61
52 Au 0.0000 0.5000 0.0000  6 Mg 2.67
53 Au 0.1250 0.7500 0.3750  4 Mg 2.61
54 Au 0.0000 0.0000 0.5000  6 Mg 2.67
55 Au 0.5000 0.0000 0.5000  6 Mg 2.67
56 Au 0.2500 0.3750 0.6250  4 Mg 2.61
57 Au 0.0000 0.5000 0.5000  6 Mg 2.67
58 Au 0.6250 0.8750 0.2500  4 Mg 2.61
59 Au 0.7500 0.1250 0.8750  4 Mg 2.61
60 Au 0.3750 0.1250 0.7500  4 Mg 2.61
61 Au 0.5000 0.0000 0.0000  6 Mg 2.67
62 Au 0.6250 0.7500 0.8750  4 Mg 2.61
63 Au 0.3750 0.2500 0.1250  4 Mg 2.61
64 Au 0.5000 0.5000 0.5000  6 Mg 2.67
65 Au 0.5000 0.5000 0.0000  6 Mg 2.67
66 Au 0.0000 0.0000 0.0000  6 Mg 2.67
67 Au 0.2500 0.8750 0.1250  4 Mg 2.61
68 Au 0.1250 0.3750 0.2500  4 Mg 2.61
69 Zn 0.7500 0.3750 0.1250  8 Mg 2.80-3.04
70 Zn 0.2500 0.1250 0.3750  8 Mg 2.80-3.04
71 Zn 0.2500 0.6250 0.8750  8 Mg 2.80-3.04
72 Zn 0.1250 0.2500 0.8750  8 Mg 2.80-3.04
73 Zn 0.6250 0.2500 0.3750  8 Mg 2.80-3.04
74 Zn 0.7500 0.8750 0.6250  8 Mg 2.80-3.04
75 Zn 0.1250 0.8750 0.7500  8 Mg 2.80-3.04
76 Zn 0.8750 0.1250 0.2500  8 Mg 2.80-3.04
77 Zn 0.8750 0.7500 0.1250  8 Mg 2.80-3.04
78 Zn 0.3750 0.7500 0.6250  8 Mg 2.80-3.04
79 Zn 0.3750 0.6250 0.2500  8 Mg 2.80-3.04
80 Zn 0.6250 0.3750 0.7500  8 Mg 2.80-3.04